Record 1
RbBa3Ti PBE optimized geometry; final energy = -2.387 eV per atom; space group = Pm-3m; volume = 313.7 Å³/f.u.; E above lowest polymorph = 0.0 kJ/mol of atoms; spin magnetization = 3.11 μB/f.u.; energy of formation = 2.7 eV/f.u.
1.0
6.7946 0.0000 0.0000
0.0000 6.7946 0.0000
0.0000 0.0000 6.7946
Rb Ba Ti
1 3 1
direct
0.5000 0.5000 0.5000 Rb
0.0000 0.0000 0.5000 Ba
0.0000 0.5000 0.0000 Ba
0.5000 0.0000 0.0000 Ba
0.0000 0.0000 0.0000 Ti

***

Record 2
RbBaTi3 PBE optimized geometry; final energy = -3.433 eV per atom; space group = Pm-3m; volume = 158.6 Å³/f.u.; E above lowest polymorph = 0.0 kJ/mol of atoms; spin magnetization = 3.00 μB/f.u.; energy of formation = 9.4 eV/f.u.
1.0
5.4125 0.0000 0.0000
0.0000 5.4125 0.0000
0.0000 0.0000 5.4125
Rb Ti Ba
1 3 1
direct
0.5000 0.5000 0.5000 Rb
0.5000 0.0000 0.0000 Ti
0.0000 0.5000 0.0000 Ti
0.0000 0.0000 0.5000 Ti
0.0000 0.0000 0.0000 Ba

***

Record 3
RbBaTiTl2 PBE optimized geometry; final energy = -1.801 eV per atom; space group = P4/mmm; volume = 237.2 Å³/f.u.; spin magnetization = 0.10 μB/f.u.; energy of formation = 6.5 eV/f.u.
1.0
-2.7454 4.4735 3.0773
-0.5944 -3.8601 5.0812
5.4003 1.8913 2.0685
Tl Ba Ti Rb
2 1 1 1
direct
0.0000 0.0000 0.5000 Tl
0.5000 0.0000 0.0000 Tl
0.0000 0.5000 0.0000 Ba
0.5000 0.5000 0.5000 Ti
0.0000 0.0000 0.0000 Rb

***

Record 4
RbBa2Tl2 PBE optimized geometry; final energy = -1.908 eV per atom; space group = I4/mmm; volume = 269.5 Å³/f.u.; E above lowest polymorph = 22.0 kJ/mol of atoms; spin magnetization = 0.00 μB/f.u.; energy of formation = 0.0 eV/f.u.
1.0
5.6646 0.0000 0.0000
0.0000 5.6646 0.0000
2.8323 2.8323 8.3988
Rb Ba Tl
1 2 2
direct
0.0000 0.0000 0.0000 Rb
0.6338 0.6338 0.7324 Ba
0.3662 0.3662 0.2676 Ba
0.2500 0.7500 0.5000 Tl
0.7500 0.2500 0.5000 Tl

***

Record 5
Rb3BaTl PBE optimized geometry; final energy = -1.243 eV per atom; space group = Pm-3m; volume = 372.4 Å³/f.u.; E above lowest polymorph = 0.0 kJ/mol of atoms; spin magnetization = 0.00 μB/f.u.; energy of formation = 1.0 eV/f.u.
1.0
-1.6483 -4.9042 4.9990
-1.2339 -4.8519 -5.1667
6.8934 -2.0411 0.2705
Rb Ba Tl
3 1 1
direct
0.0000 0.5000 0.0000 Rb
0.5000 0.0000 0.0000 Rb
0.0000 0.0000 0.5000 Rb
0.5000 0.5000 0.5000 Ba
0.0000 0.0000 0.0000 Tl

***

Record 6
RbBaTl3 PBE optimized geometry; final energy = -1.706 eV per atom; space group = Pm-3m; volume = 285.9 Å³/f.u.; E above lowest polymorph = 0.0 kJ/mol of atoms; spin magnetization = 0.00 μB/f.u.; energy of formation = 1.5 eV/f.u.
1.0
6.5875 0.0000 0.0000
0.0000 6.5875 0.0000
0.0000 0.0000 6.5875
Tl Ba Rb
3 1 1
direct
0.5000 0.0000 0.0000 Tl
0.0000 0.5000 0.0000 Tl
0.0000 0.0000 0.5000 Tl
0.0000 0.0000 0.0000 Ba
0.5000 0.5000 0.5000 Rb

***

Record 7
Rb2BaTl9 PBE optimized geometry; final energy = -2.225 eV per atom; space group = R-3m; volume = 430.3 Å³/f.u.; spin magnetization = 0.00 μB/f.u.; energy of formation = -1.6 eV/f.u.
1.0
6.4116 0.0000 1.9082
2.9218 5.7071 1.9082
-0.0093 -0.0057 11.7570
Tl Rb Ba
9 2 1
direct
0.6650 0.6650 0.0050 Tl
0.4161 0.9213 0.2464 Tl
0.5000 0.5000 0.5000 Tl
0.5839 0.5839 0.7536 Tl
0.3350 0.3350 0.9950 Tl
0.9213 0.4161 0.2464 Tl
0.4161 0.4161 0.2464 Tl
0.0787 0.5839 0.7536 Tl
0.5839 0.0787 0.7536 Tl
0.8574 0.8574 0.4279 Rb
0.1426 0.1426 0.5721 Rb
0.0000 0.0000 0.0000 Ba

***

Record 8
Rb3BaTl PBE optimized geometry; final energy = -0.793 eV per atom; space group = Pm-3m; volume = 543.3 Å³/f.u.; E above lowest polymorph = 43.5 kJ/mol of atoms; spin magnetization = 0.18 μB/f.u.; energy of formation = 3.2 eV/f.u.
1.0
8.1597 0.0000 0.0000
0.0000 8.1597 0.0000
0.0000 0.0000 8.1597
Ba Rb Tl
1 3 1
direct
0.0000 0.0000 0.0000 Ba
0.0000 0.0000 0.5000 Rb
0.0000 0.5000 0.0000 Rb
0.5000 0.0000 0.0000 Rb
0.5000 0.5000 0.5000 Tl